A plane-wave DFT calculation with PBE-GGA was carried out for crystalline Al3CoCu2 at its relaxed geometry.

abc: 2.9415 2.9415 8.8341
angles: 90.00 90.00 90.00
Element x y z (fractional)
Al 0.0000 0.0000 0.0000
Al 0.0000 0.0000 0.3465
Al 0.0000 0.0000 0.6535
Co 0.5000 0.5000 0.5000
Cu 0.5000 0.5000 0.1718
Cu 0.5000 0.5000 0.8282

Computed properties:
**Crystal system**: tetragonal
**Calculated density**: 5.80 g/cm³
**Energy**: -28.5 eV/cell
**Space-group type**: No. 123